A plane-wave DFT calculation with PBE was carried out for an optimized crystal structure of CeYTe2O.

abc: 4.2106 4.2106 15.4774
angles: 90.00 90.00 90.00
Sites, in units of the cell vectors:
Ce1 0.2500 0.2500 0.0733
Ce2 0.7500 0.7500 0.9267
Y1 0.2500 0.2500 0.6236
Y2 0.7500 0.7500 0.3764
Te1 0.2500 0.2500 0.4110
Te2 0.2500 0.2500 0.8139
Te3 0.7500 0.7500 0.1861
Te4 0.7500 0.7500 0.5890
O1 0.2500 0.7500 0.0000
O2 0.7500 0.2500 0.0000

Computed properties:
Formation energy from raw total energies in eV/atom: -2.0777
SG: P4/nmm (129)